(1)
Compound: CuAg2Cl
Source: Alexandria via LeMat-Bulk
Functional: GGA-PBE
Structure: optimized geometry

Its calculated density is 6.52 g cm⁻³. For the total energy, the calculation gives -2.633 eV/atom. The uncorrected formation energy comes out at 1.11 eV/f.u. The value obtained for the relative energy among the computed polymorphs is 343 meV per atom.

The structure belongs to space group I-42d (No. 122); the cell edges are 7.1456, 7.1456 and 6.2819 Å and the angles 90.00°, 90.00° and 90.00°. Symmetry generates all atoms from Cu at (0.0000, 0.0000, 0.0000), Ag at (0.2400, 0.7500, 0.1250) and Cl at (0.0000, 0.0000, 0.5000).


(2)
Compound: MnCrBCl2
Source: Alexandria via LeMat-Bulk
Functional: GGA-PBE
Structure: optimized geometry

Its calculated density is 3.26 g cm⁻³. For the total energy, the calculation gives -5.010 eV/atom. The uncorrected formation energy comes out at 4.11 eV/f.u. The value obtained for the relative energy among the computed polymorphs is 0 meV per atom.

The structure belongs to space group P4/mmm (No. 123); the cell edges are 4.7925, 4.7925 and 4.1846 Å and the angles 90.00°, 90.00° and 90.00°. Symmetry generates all atoms from Mn at (0.0000, 0.0000, 0.0000), Cr at (0.5000, 0.5000, 0.0000), B at (0.0000, 0.0000, 0.5000) and Cl at (0.0000, 0.5000, 0.5000).


(3)
Compound: In2PbBr
Source: Alexandria via LeMat-Bulk
Functional: GGA-PBE
Structure: optimized geometry

Its calculated density is 6.75 g cm⁻³. For the total energy, the calculation gives -2.929 eV/atom. The uncorrected formation energy comes out at -0.86 eV/f.u. The value obtained for the relative energy among the computed polymorphs is 7 meV per atom.

The structure belongs to space group Pmmm (No. 47); the cell edges are 3.7625, 5.3256 and 6.3424 Å and the angles 90.00°, 90.00° and 90.00°. Symmetry generates all atoms from In at (0.0000, 0.0000, 0.0000), In at (0.5000, 0.5000, 0.5000), Pb at (0.0000, 0.0000, 0.5000) and Br at (0.5000, 0.5000, 0.0000).


Which value of relative energy among the computed polymorphs does entry 2 give?
0 meV per atom


relative energy among the computed polymorphs of number 3 (In2PbBr)?
7 meV per atom


Repeat the third record exactly.
Compound: In2PbBr
Source: Alexandria via LeMat-Bulk
Functional: GGA-PBE
Structure: optimized geometry

Its calculated density is 6.75 g cm⁻³. For the total energy, the calculation gives -2.929 eV/atom. The uncorrected formation energy comes out at -0.86 eV/f.u. The value obtained for the relative energy among the computed polymorphs is 7 meV per atom.

The structure belongs to space group Pmmm (No. 47); the cell edges are 3.7625, 5.3256 and 6.3424 Å and the angles 90.00°, 90.00° and 90.00°. Symmetry generates all atoms from In at (0.0000, 0.0000, 0.0000), In at (0.5000, 0.5000, 0.5000), Pb at (0.0000, 0.0000, 0.5000) and Br at (0.5000, 0.5000, 0.0000).


Which of these has the lowest relative energy among the computed polymorphs?
MnCrBCl2